Record 1
VASP calculation (PBE) on a geometry-optimized MgTeIr4 structure.

The calculation puts the volume at 17.48 Å³/atom.

The space group is F-43m (No. 216) and the conventional cell measures 7.4855, 7.4855 and 7.4855 Å, with angles of 90.00, 90.00 and 90.00 degrees. The asymmetric unit holds Mg at (0.0000, 0.0000, 0.0000), Te at (0.2500, 0.2500, 0.7500) and Ir at (0.1253, 0.1253, 0.3747).

Record 2
VASP calculation (PBE) on a geometry-optimized MgTe2Ir structure.

The calculation puts the volume at 20.79 Å³/atom.

The space group is P4/mmm (No. 123) and the conventional cell measures 5.0275, 5.0275 and 3.2899 Å, with angles of 90.00, 90.00 and 90.00 degrees. The asymmetric unit holds Mg at (0.0000, 0.0000, 0.0000), Te at (0.0000, 0.5000, 0.5000) and Ir at (0.5000, 0.5000, 0.0000).

We obtain electronic total energy values of -6.4546, -4.0943 eV per atom for the records listed above, in that order.